No. 1
Material: Ga2CoBr8
Method: DFT, PBE
State: optimized geometry

Properties
- Symmetry: C2/c, No. 15
- Total energy: -3.07 eV per atom
- Crystal system: monoclinic
- Formation energy without anion corrections: -7.25 eV/f.u.

a b c (Å): 10.451 10.451 12.504
angles (deg): 124.40 124.40 50.06
Element x y z (fractional)
Ga 0.154 0.684 0.971
Ga 0.316 0.846 0.529
Ga 0.684 0.154 0.471
Ga 0.846 0.316 0.029
Co 0.007 0.993 0.250
Co 0.993 0.007 0.750
Br 0.130 0.155 0.005
Br 0.135 0.706 0.781
Br 0.151 0.716 0.313
Br 0.155 0.130 0.505
Br 0.284 0.849 0.187
Br 0.294 0.865 0.719
Br 0.296 0.389 0.941
Br 0.389 0.296 0.441
Br 0.611 0.704 0.559
Br 0.704 0.611 0.059
Br 0.706 0.135 0.281
Br 0.716 0.151 0.813
Br 0.845 0.870 0.495
Br 0.849 0.284 0.687
Br 0.865 0.294 0.219
Br 0.870 0.845 0.995

No. 2
Material: CsLi2DyBr6
Method: DFT, PBE
State: optimized geometry

Properties
- Symmetry: P1, No. 1
- Total energy: -3.66 eV per atom
- Crystal system: triclinic
- Formation energy without anion corrections: -17.28 eV/f.u.

a b c (Å): 7.452 7.844 7.980
angles (deg): 105.25 102.38 117.33
Element x y z (fractional)
Cs 0.000 0.000 0.000
Li 0.259 0.598 0.732
Li 0.574 0.721 0.330
Dy 0.445 0.210 0.644
Br 0.368 0.461 0.465
Br 0.404 0.937 0.318
Br 0.461 0.505 0.967
Br 0.488 0.000 0.864
Br 0.892 0.477 0.758
Br 0.984 0.965 0.520

No. 3
Material: Sn2Pt2Pb
Method: DFT, PBE
State: optimized geometry

Properties
- Symmetry: I4/mmm, No. 139
- Total energy: -5.00 eV per atom
- Crystal system: tetragonal

a b c (Å): 6.212 6.212 6.212
angles (deg): 134.51 134.51 66.29
Element x y z (fractional)
Sn 0.137 0.137 0.000
Sn 0.863 0.863 0.000
Pt 0.250 0.750 0.500
Pt 0.750 0.250 0.500
Pb 0.500 0.500 0.000